No. 1
The following is a PBE calculation of Ho3Al2GaGe2Pt after structural relaxation, from OQMD.

## Properties
The electronic total energy comes out at -5.2743 eV per atom.

```
data_Ho3Al2GaGe2Pt
_chemical_formula_sum 'Ho6 Al4 Ga2 Ge4 Pt2'
_space_group_name_H-M_alt 'A m m 2'
_space_group_IT_number 38
_cell_length_a 4.223
_cell_length_b 11.968
_cell_length_c 7.042
_cell_angle_alpha 90.00
_cell_angle_beta 90.00
_cell_angle_gamma 90.00
loop_
_space_group_symop_operation_xyz
'x,y,z'
'-x,-y,z'
'-x,y,z'
'x,-y,z'
'x,y+1/2,z+1/2'
'-x,-y+1/2,z+1/2'
'-x,y+1/2,z+1/2'
'x,-y+1/2,z+1/2'
loop_
_atom_site_label
_atom_site_type_symbol
_atom_site_fract_x
_atom_site_fract_y
_atom_site_fract_z
Ho1 Ho 0.000 0.000 0.000
Ho2 Ho 0.000 0.204 0.371
Al1 Al 0.500 0.117 0.699
Ga1 Ga 0.500 0.000 0.347
Ge1 Ge 0.500 0.171 0.076
Pt1 Pt 0.000 0.000 0.596
```


No. 2
The following is a PBE calculation of KGe2Au2 after structural relaxation, from OQMD.

## Properties
The electronic total energy comes out at -3.5262 eV per atom.

```
data_KGe2Au2
_chemical_formula_sum 'K2 Ge4 Au4'
_space_group_name_H-M_alt 'I 4/m m m'
_space_group_IT_number 139
_space_group_name_Hall '-I 4 2'
_cell_length_a 4.713
_cell_length_b 4.713
_cell_length_c 10.755
_cell_angle_alpha 90.00
_cell_angle_beta 90.00
_cell_angle_gamma 90.00
loop_
_atom_site_label
_atom_site_type_symbol
_atom_site_fract_x
_atom_site_fract_y
_atom_site_fract_z
K1 K 0.000 0.000 0.000
Ge1 Ge 0.000 0.500 0.250
Au1 Au 0.000 0.000 0.363
```


No. 3
The following is a PBE calculation of NbSiAsO after structural relaxation, from OQMD.

## Properties
The electronic total energy comes out at -6.9386 eV per atom.

```
data_NbSiAsO
_chemical_formula_sum 'Nb2 Si2 As2 O2'
_space_group_name_H-M_alt 'P m c 21'
_space_group_IT_number 26
_cell_length_a 3.552
_cell_length_b 5.633
_cell_length_c 6.025
_cell_angle_alpha 90.00
_cell_angle_beta 90.00
_cell_angle_gamma 90.00
loop_
_space_group_symop_operation_xyz
'x,y,z'
'-x,-y,z+1/2'
'-x,y,z'
'x,-y,z+1/2'
loop_
_atom_site_label
_atom_site_type_symbol
_atom_site_fract_x
_atom_site_fract_y
_atom_site_fract_z
Nb1 Nb 0.000 0.001 0.000
Si1 Si 0.500 0.298 0.248
As1 As 0.500 0.264 0.749
O1 O 0.000 0.298 0.251
```


No. 4
The following is a PBE calculation of AgB4Pb after structural relaxation, from OQMD.

## Properties
The electronic total energy comes out at -4.9100 eV per atom.

```
data_AgB4Pb
_chemical_formula_sum 'Ag2 B8 Pb2'
_space_group_name_H-M_alt 'I m m m'
_space_group_IT_number 71
_space_group_name_Hall '-I 2 2'
_cell_length_a 3.077
_cell_length_b 5.308
_cell_length_c 9.256
_cell_angle_alpha 90.00
_cell_angle_beta 90.00
_cell_angle_gamma 90.00
loop_
_atom_site_label
_atom_site_type_symbol
_atom_site_fract_x
_atom_site_fract_y
_atom_site_fract_z
Ag1 Ag 0.000 0.000 0.000
B1 B 0.000 0.333 0.252
Pb1 Pb 0.000 0.000 0.500
```